La6AlSe5: optimized geometry, PBE.

The value obtained for the total energy is -5.93 eV per atom. Its calculated density is 5.94 Mg/m³. Its symmetry is C2/m (12).

The structure in POSCAR format:
```
La6AlSe5
1.0
7.456 0.179 1.131
1.827 6.332 3.690
0.123 0.072 7.544
La Al Se
6 1 5
direct
0.250 0.583 0.334 La
0.750 0.417 0.666 La
0.751 0.749 0.000 La
0.750 0.083 0.334 La
0.249 0.251 0.000 La
0.250 0.917 0.666 La
0.000 0.000 0.000 Al
0.000 0.333 0.334 Se
0.500 0.166 0.668 Se
0.000 0.667 0.666 Se
0.500 0.500 0.000 Se
0.500 0.834 0.332 Se
```